[1]
A plane-wave DFT calculation with PBE was carried out for a relaxed HgSbPb crystal.

Structure (extended XYZ):
```
3
Lattice="-2.6609 2.6756 5.3970 -6.2055 0.1924 2.1956 5.1175 -3.5025 -2.2158" Properties=species:S:1:pos:R:3 pbc="T T T"
Pb -2.9128 0.9422 2.4943
Sb -5.8915 1.9057 5.0451
Hg -0.0621 0.0201 0.0532
```

Computed properties:
The total moment comes out at 0.0 Bohr magnetons per cell. The space group is Imm2, No. 44. The uncorrected formation energy is 0.09 eV per atom.

***

[2]
A plane-wave DFT calculation with PBE was carried out for a relaxed Nd6Fe13As crystal.

Structure (extended XYZ):
```
40
Lattice="-3.3217 -6.9725 2.1426 -0.6530 -2.0605 -7.7180 12.3690 -0.3038 3.1962" Properties=species:S:1:pos:R:3 pbc="T T T"
Nd 0.2524 -5.5565 -2.6996
Nd 2.2398 -1.0400 0.0881
Nd 8.1418 -3.7803 0.3204
Nd 6.1544 -8.2969 -2.4674
Nd 4.1469 -7.9715 0.4088
Nd 5.4539 -5.0011 2.2422
Nd 6.5735 -3.2227 -5.2260
Nd 5.6960 -4.8379 -1.9836
Nd 4.2473 -1.3654 -2.7881
Nd 2.9403 -4.3357 -4.6214
Nd 1.8207 -6.1141 2.8468
Nd 2.6983 -4.4989 -0.3957
Fe -0.3265 -1.0303 -3.8590
Fe -1.6609 -3.4863 1.0713
Fe -2.7252 -6.1113 -2.8545
Fe -1.2495 -2.9218 -2.7209
Fe -2.6710 -5.6525 1.1801
Fe -1.3038 -3.3805 -6.7556
Fe -2.0724 -4.5507 -1.0317
Fe -1.9024 -4.4823 -4.5438
Fe -0.3580 -0.8956 -1.4703
Fe -3.6168 -8.1374 -4.1051
Fe 10.0817 -2.3688 -1.7089
Fe 8.1814 -6.1110 2.4275
Fe 9.9352 -2.3313 2.4552
Fe 8.3278 -6.1484 -1.7366
Fe -1.6875 -6.9680 -0.6703
Fe 0.2128 -3.2259 -4.8068
Fe -1.5410 -7.0055 -4.8344
Fe 0.0664 -3.1884 -0.6427
Fe 8.5129 -3.9000 -2.8963
Fe 8.2638 -3.8896 3.5564
Fe 9.7464 -0.9660 0.3778
Fe 7.0303 -6.8237 0.2824
Fe -0.1187 -5.4368 0.5170
Fe 0.1304 -5.4472 -5.9356
Fe -1.3522 -8.3709 -2.7570
Fe 1.3639 -2.5131 -2.6616
As 5.1908 -2.4102 0.2043
As 3.2034 -6.9267 -2.5835
```

Computed properties:
The formation energy is -0.133 eV per atom. The total moment comes out at 53.2 Bohr magnetons per cell. The space group is I4/mcm, No. 140.

***

[3]
A plane-wave DFT calculation with PBE was carried out for a relaxed AgWSe3 crystal.

Structure (extended XYZ):
```
5
Lattice="4.9661 0.0000 0.0000 0.0000 4.9661 0.0000 0.0000 0.0000 4.9661" Properties=species:S:1:pos:R:3 pbc="T T T"
Se 0.0000 2.4830 0.0000
Se 0.0000 0.0000 2.4830
Se 2.4830 0.0000 0.0000
Ag 2.4830 2.4830 2.4830
W 0.0000 0.0000 0.0000
```

Computed properties:
The total moment comes out at 0.0 Bohr magnetons per cell. The space group is Pm-3m, No. 221. The uncorrected formation energy is 0.36 eV per atom.

***

[4]
A plane-wave DFT calculation with PBE was carried out for a relaxed K2CrSb2S6 crystal.

Structure (extended XYZ):
```
11
Lattice="6.5584 0.0659 0.0431 -3.1842 5.7339 0.0431 -1.2228 -2.1019 7.4902" Properties=species:S:1:pos:R:3 pbc="T T T"
K 4.8473 1.0614 0.0431
K -1.4732 4.7384 0.0431
Cr -0.6114 -1.0509 3.7451
Sb -0.5557 2.7980 3.7882
Sb 2.7070 0.8999 3.7882
S 1.7673 3.0378 5.2146
S -1.5869 0.6695 5.1643
S 0.3840 0.6601 2.3617
S 1.3663 -1.0486 5.1643
S 3.7382 3.0284 2.4121
S 0.7850 4.7465 2.4121
```

Computed properties:
The total moment comes out at 2.2 Bohr magnetons per cell. The space group is C2/m, No. 12. The uncorrected formation energy is -0.66 eV per atom.

***

[5]
A plane-wave DFT calculation with PBE was carried out for a relaxed ZrBi8Au2 crystal.

Structure (extended XYZ):
```
11
Lattice="5.6719 -1.4063 -1.0670 -1.7362 8.5423 0.8563 -1.7362 3.1248 7.9962" Properties=species:S:1:pos:R:3 pbc="T T T"
Zr 0.0000 0.0000 0.0000
Bi -0.4993 5.6268 6.7049
Bi 2.6987 2.2885 4.1719
Bi -1.0981 9.7877 7.4265
Bi 3.2975 0.4732 0.3590
Bi -0.4993 7.9723 3.6136
Bi 2.6987 4.6340 1.0806
Bi 2.4837 5.7471 4.3607
Bi -0.2842 4.5137 3.4248
Au 1.6060 7.9933 6.0650
Au 0.5934 2.2675 1.7205
```

Computed properties:
The formation energy is 0.051 eV per atom. The total moment comes out at 0.0 Bohr magnetons per cell. The space group is C2/m, No. 12.

***

[6]
A plane-wave DFT calculation with PBE was carried out for a relaxed NaPmTm2 crystal.

Structure (extended XYZ):
```
4
Lattice="3.5004 0.0000 0.0000 1.7502 3.0315 0.0000 1.7502 1.0105 12.6336" Properties=species:S:1:pos:R:3 pbc="T T T"
Na 0.0000 0.0000 0.0000
Tm 1.7502 1.0105 9.1587
Tm 5.2507 3.0315 3.4749
Pm 3.5004 2.0210 6.3168
```

Computed properties:
The formation energy is 0.195 eV per atom. The total moment comes out at 0.0 Bohr magnetons per cell. The space group is R-3m, No. 166.

***

[7]
A plane-wave DFT calculation with PBE was carried out for a relaxed Na2Tl3InBr6 crystal.

Structure (extended XYZ):
```
12
Lattice="4.5753 0.0000 0.0000 0.0000 9.2729 0.3145 -2.2876 -2.6858 9.6574" Properties=species:S:1:pos:R:3 pbc="T T T"
Na 2.2876 4.3621 6.5601
Na 0.0000 2.2250 3.4118
Tl 2.2876 4.6364 0.1573
Tl 2.2876 -0.2179 6.5230
Tl 0.0000 6.8050 3.4489
In 2.2876 0.0000 0.0000
Br 0.0000 6.4951 6.6412
Br 2.2876 4.3454 3.5450
Br 2.2876 0.0920 3.3307
Br 0.0000 2.2908 0.3857
Br 2.2876 4.2963 9.5861
Br 0.0000 2.2417 6.4268
```

Computed properties:
The total moment comes out at 0.0 Bohr magnetons per cell. The space group is C2/m, No. 12. The uncorrected formation energy is -1.05 eV per atom.

***

[8]
A plane-wave DFT calculation with PBE was carried out for a relaxed LaErBiAs crystal.

Structure (extended XYZ):
```
4
Lattice="4.3813 0.0000 0.0000 2.1906 3.7943 0.0000 2.1906 1.2648 7.2434" Properties=species:S:1:pos:R:3 pbc="T T T"
La 6.5719 3.7943 0.1652
Er 4.3813 2.5295 3.4657
Bi 6.5719 3.7943 5.3192
As 2.1906 1.2648 1.9149
```

Computed properties:
The formation energy is -1.208 eV per atom. The total moment comes out at 0.0 Bohr magnetons per cell. The space group is R3m, No. 160.